No. 1
VASP calculation (PBE) on a geometry-optimized Ho7Tm6 structure.

Cell and atoms, written as POSCAR:
```
Ho7Tm6
1.0
3.217 1.857 11.550
-3.217 1.857 11.550
0.000 -3.714 11.550
Ho Tm
7 6
Direct
0.000 0.000 0.000
0.091 0.091 0.585
0.091 0.585 0.091
0.415 0.909 0.909
0.585 0.091 0.091
0.909 0.415 0.909
0.909 0.909 0.415
0.167 0.167 0.167
0.353 0.353 0.353
0.454 0.454 0.454
0.546 0.546 0.546
0.647 0.647 0.647
0.833 0.833 0.833
```

Values from the calculation:
Magnetic moment = 0.0 μB per formula unit
Raw total energy = -55.5 eV per cell
Mass density = 8.7 g/cm3
Space-group type = R-3m (166)

---

No. 2
VASP calculation (PBE) on a geometry-optimized Mg4P structure.

Cell and atoms, written as POSCAR:
```
Mg4P
1.0
-3.854 3.854 1.762
3.854 -3.854 1.762
3.854 3.854 -1.762
Mg P
4 1
Direct
0.075 0.734 0.809
0.266 0.075 0.341
0.734 0.925 0.659
0.925 0.266 0.191
0.500 0.500 0.000
```

Values from the calculation:
Magnetic moment = 0.0 μB per formula unit
Raw total energy = -12.2 eV per cell
Mass density = 2.0 g/cm3
Distance to the lowest polymorph of the same formula = 0 meV per atom
Space-group type = I4/m (87)